1.
IrRhPb2 | the Alexandria database | GGA-PBE | optimized geometry; energy of formation = 351 meV per atom; energy above the lowest structure with this stoichiometry = 155.2 meV per atom; SG = No. 119; uncorrected energy = -44.4 eV/cell
1.0
3.955 0.000 0.000
0.000 3.955 0.000
0.000 0.000 10.130
Ir Rh Pb
2 2 4
Cartesian
0.000 0.000 0.000
1.978 1.978 5.065
0.000 1.978 2.533
1.978 0.000 7.598
0.000 0.000 5.065
0.000 1.978 7.598
1.978 0.000 2.533
1.978 1.978 0.000


2.
GeRh | the Alexandria database | GGA-PBE | optimized geometry; energy of formation = -10 meV per atom; SG = No. 217; uncorrected energy = -95.9 eV/cell
1.0
7.463 0.000 0.000
0.000 7.463 0.000
0.000 0.000 7.463
Ge Rh
8 8
Cartesian
1.381 1.381 1.381
1.381 6.082 6.082
2.350 2.350 5.113
2.350 5.113 2.350
5.113 2.350 2.350
5.113 5.113 5.113
6.082 1.381 6.082
6.082 6.082 1.381
0.999 0.999 6.464
0.999 6.464 0.999
2.733 2.733 2.733
2.733 4.731 4.731
4.731 2.733 4.731
4.731 4.731 2.733
6.464 0.999 0.999
6.464 6.464 6.464


3.
LuBiTe3 | the Alexandria database | GGA-PBE | optimized geometry; formation energy (no corrections) = -3.8 eV per formula unit; SG = No. 160; uncorrected energy = -65.0 eV/cell
1.0
4.364 0.000 0.000
-2.182 3.779 0.000
0.000 0.000 31.835
Lu Bi Te
3 3 9
Cartesian
0.000 0.000 0.000
0.000 2.519 21.224
2.182 1.260 10.612
0.000 0.000 25.315
0.000 2.519 14.703
2.182 1.260 4.091
0.000 0.000 5.810
0.000 0.000 12.494
0.000 0.000 19.654
0.000 2.519 1.882
0.000 2.519 9.042
0.000 2.519 27.034
2.182 1.260 16.422
2.182 1.260 23.106
2.182 1.260 30.266


4.
ScSn2Pt2 | the Alexandria database | GGA-PBE | optimized geometry; energy of formation = -421 meV per atom; SG = No. 127; uncorrected energy = -57.1 eV/cell
1.0
7.881 0.000 0.000
0.000 7.881 0.000
0.000 0.000 3.230
Sc Sn Pt
2 4 4
Cartesian
0.000 0.000 0.000
3.941 3.941 0.000
1.135 2.806 0.000
2.806 6.746 0.000
5.076 1.135 0.000
6.746 5.076 0.000
1.211 5.152 1.615
2.729 1.211 1.615
5.152 6.670 1.615
6.670 2.729 1.615


5.
NbTcRh4 | the Alexandria database | GGA-PBE | optimized geometry; energy of formation = 187 meV per atom; SG = No. 65; uncorrected energy = -97.4 eV/cell
1.0
5.743 0.000 0.000
0.000 6.320 0.000
0.000 0.000 5.763
Nb Tc Rh
2 2 8
Cartesian
0.000 0.000 0.000
2.872 3.160 0.000
0.000 3.160 2.881
2.872 0.000 2.881
1.436 1.580 1.465
1.436 1.580 4.298
1.436 4.740 1.465
1.436 4.740 4.298
4.307 1.580 1.465
4.307 1.580 4.298
4.307 4.740 1.465
4.307 4.740 4.298


6.
NdAl2GaAu | the Alexandria database | GGA-PBE | optimized geometry; energy of formation = -607 meV per atom; SG = No. 44; uncorrected energy = -43.2 eV/cell
1.0
4.204 0.000 0.000
0.000 4.261 0.000
0.000 0.000 11.177
Nd Al Ga Au
2 4 2 2
Cartesian
0.000 0.000 0.000
2.102 2.130 5.588
0.000 0.000 4.306
0.000 2.130 2.747
2.102 0.000 8.335
2.102 2.130 9.895
0.000 0.000 6.789
2.102 2.130 1.200
0.000 2.130 8.406
2.102 0.000 2.818


7.
ScHIN2 | the Alexandria database | GGA-PBE | optimized geometry; energy above the lowest structure with this stoichiometry = 0.0 meV per atom; SG = No. 123; uncorrected energy = -22.5 eV/cell
1.0
4.040 0.000 0.000
0.000 4.040 0.000
0.000 0.000 6.330
Sc H I N
1 1 1 2
Cartesian
0.000 0.000 0.000
2.020 2.020 3.165
0.000 0.000 3.165
0.000 2.020 0.000
2.020 0.000 0.000


Number 1: magnetization 0.0000 μB/atom. Number 2: magnetization 0.0000 μB/atom. Number 3: magnetization 0.0000 μB/atom. Number 4: magnetization 0.1347 μB/atom. Number 5: magnetization 0.0000 μB/atom. Number 6: magnetization 0.0000 μB/atom. Number 7: magnetization 0.2089 μB/atom.